(1)
Material: TmInCu
Method: DFT, PBE
State: optimized geometry

Unit cell a=12.948 b=3.888 c=7.465 alpha=90.00 beta=90.00 gamma=90.00
Fractional positions:
Tm 0.046 0.000 0.225
Tm 0.250 0.000 0.849
Tm 0.454 0.000 0.225
Tm 0.546 0.000 0.775
Tm 0.750 0.000 0.151
Tm 0.954 0.000 0.775
In 0.118 0.500 0.569
In 0.250 0.500 0.189
In 0.382 0.500 0.569
In 0.618 0.500 0.431
In 0.750 0.500 0.811
In 0.882 0.500 0.431
Cu 0.090 0.500 0.941
Cu 0.250 0.000 0.442
Cu 0.410 0.500 0.941
Cu 0.590 0.500 0.059
Cu 0.750 0.000 0.558
Cu 0.910 0.500 0.059

## Properties
crystal system = orthorhombic
formation enthalpy at 0 K = -394 meV/atom

***

(2)
Material: Tm7In2Cu2
Method: DFT, PBE
State: optimized geometry

Unit cell a=6.791 b=6.791 c=6.898 alpha=90.00 beta=90.00 gamma=108.10
Fractional positions:
Tm 0.000 0.000 0.000
Tm 0.000 0.500 0.253
Tm 0.000 0.500 0.747
Tm 0.500 0.000 0.253
Tm 0.500 0.000 0.747
Tm 0.500 0.500 0.241
Tm 0.500 0.500 0.759
In 0.176 0.176 0.500
In 0.824 0.824 0.500
Cu 0.294 0.706 0.000
Cu 0.706 0.294 0.000

## Properties
crystal system = orthorhombic
formation enthalpy at 0 K = -80 meV/atom

***

(3)
Material: TmInCu
Method: DFT, PBE
State: optimized geometry

Unit cell a=3.300 b=3.300 c=11.521 alpha=90.00 beta=90.00 gamma=90.00
Fractional positions:
Tm 0.000 0.000 0.000
Tm 0.500 0.500 0.500
In 0.000 0.000 0.704
In 0.500 0.500 0.204
Cu 0.000 0.000 0.348
Cu 0.500 0.500 0.848

## Properties
crystal system = tetragonal
formation enthalpy at 0 K = -215 meV/atom

***

(4)
Material: TmIn3Cu8
Method: DFT, PBE
State: optimized geometry

Unit cell a=8.876 b=8.876 c=8.876 alpha=33.10 beta=33.10 gamma=33.10
Fractional positions:
Tm 0.000 0.000 0.000
In 0.125 0.125 0.125
In 0.501 0.501 0.501
In 0.624 0.624 0.624
Cu 0.063 0.063 0.561
Cu 0.063 0.561 0.063
Cu 0.064 0.563 0.563
Cu 0.312 0.312 0.312
Cu 0.561 0.063 0.063
Cu 0.563 0.064 0.563
Cu 0.563 0.563 0.064
Cu 0.813 0.813 0.813

## Properties
crystal system = trigonal
formation enthalpy at 0 K = -152 meV/atom
energy relative to the lowest polymorph listed for this composition = 0.00 eV/f.u.

***

(5)
Material: TmInCu
Method: DFT, PBE
State: optimized geometry

Unit cell a=7.939 b=4.706 c=7.577 alpha=90.00 beta=111.03 gamma=90.00
Fractional positions:
Tm 0.233 0.000 0.213
Tm 0.267 0.500 0.787
Tm 0.733 0.500 0.213
Tm 0.767 0.000 0.787
In 0.000 0.000 0.500
In 0.000 0.500 0.000
In 0.500 0.000 0.000
In 0.500 0.500 0.500
Cu 0.126 0.500 0.389
Cu 0.374 0.000 0.611
Cu 0.626 0.000 0.389
Cu 0.874 0.500 0.611

## Properties
crystal system = monoclinic
formation enthalpy at 0 K = -246 meV/atom

***

(6)
Material: Tm4In3Cu
Method: DFT, PBE
State: optimized geometry

Unit cell a=3.468 b=3.468 c=16.141 alpha=90.00 beta=90.00 gamma=90.00
Fractional positions:
Tm 0.000 0.000 0.104
Tm 0.000 0.000 0.368
Tm 0.000 0.000 0.632
Tm 0.000 0.000 0.896
In 0.500 0.500 0.236
In 0.500 0.500 0.500
In 0.500 0.500 0.764
Cu 0.500 0.500 0.000

## Properties
crystal system = tetragonal
formation enthalpy at 0 K = -402 meV/atom